# KBrO2F

A geometry-optimized KBrO2F structure (PBE, the Alexandria database).

Cell: 3.9005 3.9005 5.2682 Å, 90.00 90.00 90.00°
Fractional coordinates of all 5 atoms:
K: 0.5000 0.5000 0.5000
O: 0.0000 0.5000 0.0000
O: 0.5000 0.0000 0.0000
Br: 0.0000 0.0000 0.0000
F: 0.0000 0.0000 0.5000

Properties
The calculated density comes out at 3.52 g cm⁻³. As for the volume: 16.03 Å³ per atom. The space-group type is P4/mmm, No. 123. As for the size of the total moment: 0.00 μB/cell. The calculation puts the raw total energy at -3.5557 eV per atom. The uncorrected formation energy is -644 meV/atom.

***

# KBrOF2

A geometry-optimized KBrOF2 structure (PBE, the Alexandria database).

Cell: 4.8582 4.8582 5.0751 Å, 90.00 90.00 90.00°
Fractional coordinates of all 5 atoms:
K: 0.0000 0.0000 0.0000
O: 0.0000 0.0000 0.5000
Br: 0.5000 0.5000 0.5000
F: 0.0000 0.5000 0.0000
F: 0.5000 0.0000 0.0000

Properties
The calculated density comes out at 2.40 g cm⁻³. As for the volume: 23.96 Å³ per atom. The space-group type is P4/mmm, No. 123. As for the size of the total moment: 1.91 μB/cell. The energy above the most stable polymorph in this dataset is 1038 meV per atom. The calculation puts the raw total energy at -2.2882 eV per atom. The uncorrected formation energy is 6 meV/atom.

***

# KBrO2F

A geometry-optimized KBrO2F structure (PBE, the Alexandria database).

Cell: 4.8154 4.8154 4.5147 Å, 90.00 90.00 90.00°
Fractional coordinates of all 5 atoms:
K: 0.0000 0.0000 0.0000
O: 0.0000 0.5000 0.0000
O: 0.5000 0.0000 0.0000
Br: 0.5000 0.5000 0.5000
F: 0.0000 0.0000 0.5000

Properties
The calculated density comes out at 2.70 g cm⁻³. As for the volume: 20.94 Å³ per atom. The space-group type is P4/mmm, No. 123. As for the size of the total moment: 0.00 μB/cell. The calculation puts the raw total energy at -2.1128 eV per atom. The uncorrected formation energy is 799 meV/atom.

***

Look up the uncorrected formation energy of the first one. -644 meV/atom